Record 1
! SrLi2Sb PBE optimized geometry; values from VASP
! Crystal system: orthorhombic
! V (Å³ per cell): 119
! Electronic total energy (eV per atom): -2.913
&SYSTEM
  ibrav = 0, nat = 4, ntyp = 3
/
ATOMIC_SPECIES
Li 6.94 Li.upf
Sb 121.76 Sb.upf
Sr 87.62 Sr.upf
ATOMIC_POSITIONS angstrom
Li 4.6426 -1.5287 0.1784
Li 1.8580 -3.1574 -0.3477
Sb 2.4002 -1.9908 2.0011
Sr 3.9931 -4.9244 1.4263
CELL_PARAMETERS angstrom
-1.1515 -3.7741 -2.3735
4.3881 -1.0246 -0.4997
2.0502 -3.5104 4.5872

=====

Record 2
! Sr2Ca3Ac6 PBE optimized geometry; values from VASP
! Energy of formation (eV/atom): 0.2913
! Crystal system: hexagonal
! V (Å³ per cell): 557
&SYSTEM
  ibrav = 0, nat = 11, ntyp = 3
/
ATOMIC_SPECIES
Sr 87.62 Sr.upf
Ca 40.08 Ca.upf
Ac 227.00 Ac.upf
ATOMIC_POSITIONS angstrom
Sr -3.5691 -3.8708 -2.8095
Sr -4.0195 -3.1417 3.0964
Ca -3.8051 -0.4382 -5.3840
Ca -4.5741 0.8067 4.6994
Ca -5.3000 -0.8419 -0.3003
Ac -2.7224 1.1588 -2.3583
Ac -7.9345 -3.2764 -0.2007
Ac -2.4437 -3.6044 -6.8294
Ac -3.5026 -1.8905 7.0542
Ac -3.0223 1.6442 1.5741
Ac -1.6422 -1.5175 0.0621
CELL_PARAMETERS angstrom
-4.0605 4.3594 -0.8479
-3.1186 -4.5999 -8.7154
-4.4699 -2.4126 9.0023

=====

no.,spin magnetization (μB per formula unit)
1,0.36
2,0.00